w.
ZrTeIN2 | GGA-PBE | relaxed

Calculated values
Magnetic moment   0.005 μB/f.u.

Lattice parameters (Å, degrees): 4.272 4.272 6.358 90.00 90.00 90.00
Fractional coordinates of all 5 atoms:
Zr: 0.000 0.000 0.000
Te: 0.000 0.000 0.500
I: 0.500 0.500 0.500
N: 0.000 0.500 0.000
N: 0.500 0.000 0.000



x.
ZrTeIN2 | GGA-PBE | relaxed

Calculated values
Magnetic moment   0.590 μB/f.u.

Lattice parameters (Å, degrees): 4.291 4.291 6.258 90.00 90.00 90.00
Fractional coordinates of all 5 atoms:
Zr: 0.000 0.000 0.000
Te: 0.500 0.500 0.500
I: 0.000 0.000 0.500
N: 0.000 0.500 0.000
N: 0.500 0.000 0.000



Which structure is the most stable? The one labeled w.



w.
ZrTeIN2 | GGA-PBE | relaxed

Calculated values
Magnetic moment   0.000 μB/f.u.

Lattice parameters (Å, degrees): 4.146 4.146 6.010 90.00 90.00 90.00
Fractional coordinates of all 5 atoms:
Zr: 0.000 0.000 0.000
Te: 0.500 0.500 0.500
I: 0.500 0.500 0.000
N: 0.000 0.500 0.500
N: 0.500 0.000 0.500



x.
ZrTeIN2 | GGA-PBE | relaxed

Calculated values
Magnetic moment   0.000 μB/f.u.

Lattice parameters (Å, degrees): 4.164 4.164 5.839 90.00 90.00 90.00
Fractional coordinates of all 5 atoms:
Zr: 0.000 0.000 0.000
Te: 0.500 0.500 0.000
I: 0.500 0.500 0.500
N: 0.000 0.500 0.500
N: 0.500 0.000 0.500



Which structure is the most stable? The one labeled w.



w.
TiI2N2 | GGA-PBE | relaxed

Calculated values
Magnetic moment   0.030 μB/f.u.

Lattice parameters (Å, degrees): 4.074 4.074 6.820 90.00 90.00 90.00
Fractional coordinates of all 5 atoms:
Ti: 0.000 0.000 0.000
I: 0.500 0.500 0.000
I: 0.500 0.500 0.500
N: 0.000 0.500 0.500
N: 0.500 0.000 0.500



x.
TiI2N2 | GGA-PBE | relaxed

Calculated values
Magnetic moment   0.000 μB/f.u.

Lattice parameters (Å, degrees): 4.124 4.124 6.304 90.00 90.00 90.00
Fractional coordinates of all 5 atoms:
Ti: 0.000 0.000 0.000
I: 0.000 0.000 0.500
I: 0.500 0.500 0.500
N: 0.000 0.500 0.000
N: 0.500 0.000 0.000



Which structure is the most stable? The one labeled x.



w.
TiIN2 | GGA-PBE | relaxed

Calculated values
Magnetic moment   0.000 μB/f.u.

Lattice parameters (Å, degrees): 4.111 4.111 4.111 60.00 60.00 60.00
Fractional coordinates of all 4 atoms:
Ti: 0.000 0.000 0.000
I: 0.500 0.500 0.500
N: 0.250 0.250 0.250
N: 0.750 0.750 0.750



x.
TiIN2 | GGA-PBE | relaxed

Calculated values
Magnetic moment   0.000 μB/f.u.

Lattice parameters (Å, degrees): 6.010 6.010 6.010 126.07 126.07 79.77
Fractional coordinates of all 8 atoms:
Ti: 0.000 0.000 0.000
Ti: 0.750 0.250 0.500
I: 0.250 0.750 0.500
I: 0.500 0.500 0.000
N: 0.008 0.625 0.883
N: 0.375 0.258 0.383
N: 0.742 0.125 0.117
N: 0.875 0.992 0.617



Which structure is the most stable? The one labeled x.